# 1
The following is a PBE calculation of a relaxed structure of Tl2GaPd7, from Alexandria.

Output
M_tot in μB/cell: 0.0
Symmetry: No. 65
Calculated density in g/cm3: 10.5
ΔE_f in eV/atom: -0.039

Lattice parameters (Å, degrees): 9.3915 9.3915 2.9534 90.00 90.00 132.17
Last column: nearest neighbours and their distance in Å.
Sites, in units of the cell vectors:
Tl 0.1714 0.8286 0.0000  5 Pd 2.76-2.94, 2 Tl 2.95
Tl 0.8286 0.1714 0.0000  5 Pd 2.76-2.94, 2 Tl 2.95
Ga 0.5000 0.5000 0.5000  8 Pd 2.54
Pd 0.0000 0.0000 0.0000  6 Pd 2.76-2.95, 2 Tl 2.94
Pd 0.2226 0.3922 0.0000  2 Ga 2.54, 3 Pd 2.76-2.79, 1 Tl 2.77
Pd 0.3072 0.6928 0.5000  2 Tl 2.76, 6 Pd 2.79-2.95
Pd 0.3922 0.2226 0.0000  2 Ga 2.54, 3 Pd 2.76-2.79, 1 Tl 2.77
Pd 0.6078 0.7774 0.0000  2 Ga 2.54, 3 Pd 2.76-2.79, 1 Tl 2.77
Pd 0.6928 0.3072 0.5000  2 Tl 2.76, 6 Pd 2.79-2.95
Pd 0.7774 0.6078 0.0000  2 Ga 2.54, 3 Pd 2.76-2.79, 1 Tl 2.77

***

# 2
The following is a PBE calculation of a relaxed structure of TlGaPd3, from Alexandria.

Output
M_tot in μB/cell: 0.0
Symmetry: No. 1
Calculated density in g/cm3: 11.5
ΔE_f in eV/atom: -0.316

Lattice parameters (Å, degrees): 5.5938 5.5992 6.7796 67.80 77.70 60.46
Last column: nearest neighbours and their distance in Å.
Sites, in units of the cell vectors:
Tl 0.0000 0.0000 0.0000  8 Pd 2.80-3.06, 1 Ga 3.01
Tl 0.2862 0.7411 0.4466  8 Pd 2.73-3.05, 1 Ga 2.96
Ga 0.5849 0.6220 0.8118  5 Pd 2.49-2.64
Ga 0.9500 0.4045 0.2557  6 Pd 2.52-2.82
Pd 0.0796 0.5312 0.8638  2 Ga 2.52-2.63
Pd 0.2625 0.1664 0.5989  2 Ga 2.64-2.71, 5 Pd 2.79-2.92, 2 Tl 2.85-2.87
Pd 0.4800 0.3685 0.1859  1 Ga 2.50
Pd 0.5331 0.9226 0.0361  2 Ga 2.55-2.76, 2 Tl 2.80-2.85
Pd 0.7382 0.2027 0.6117  2 Ga 2.56-2.83, 2 Pd 2.79-2.82, 2 Tl 2.81-2.85
Pd 0.7833 0.7714 0.4485  2 Ga 2.49-2.53, 1 Tl 2.73

***

Which formula does entry 1 have?
Tl2GaPd7